{
  "formula": "ReI2OF",
  "functional": "PBE",
  "state": "relaxed",
  "vol_a3_per_fu": 110.7,
  "crystal_system": "tetragonal",
  "n_ef_per_ev_fu": 3.34,
  "de_polymorph_mev_per_atom": 0.0,
  "lattice": [[5.437, 0.000, 0.000], [0.000, 5.437, 0.000], [0.000, 0.000, 3.745]],
  "species": ["Re", "I", "I", "O", "F"],
  "frac_coords": [[0.000, 0.000, 0.000], [0.000, 0.500, 0.000], [0.500, 0.000, 0.000], [0.000, 0.000, 0.500], [0.500, 0.500, 0.500]]
}